[1]
## Rb5Tc2N5 (PBE)

Data for a relaxed structure of Rb5Tc2N5.

a b c (Å): 17.3371 3.5948 11.7641
angles (deg): 90.00 121.77 90.00
Last column: nearest neighbours and their distance in Å.
Space group C2/m (No. 12)
Asymmetric unit:
Rb1 0.0000 0.0000 0.0000 x2  6 N 3.20-3.31, 4 Tc 3.45
Rb2 0.1157 0.5000 0.4644 x4  3 N 2.88-3.03
Rb3 0.1523 0.5000 0.8060 x4  3 N 3.02-3.14
Tc1 0.1875 0.5000 0.2334 x4  1 N 1.71
N1 0.0000 0.0000 0.5000 x2  4 Rb 2.88
N2 0.1738 0.5000 0.0782 x4  1 Tc 1.71
N3 0.1909 0.0000 0.2970 x4  2 Tc 1.94

- formation energy from raw total energies (kJ/mol of atoms) = 20.0

=====

[2]
## NbCu2Sb2 (PBE)

Data for a relaxed structure of NbCu2Sb2.

a b c (Å): 7.1123 7.1123 3.5543
angles (deg): 90.00 90.00 90.00
Last column: nearest neighbours and their distance in Å.
Space group P4/mbm (No. 127)
Asymmetric unit:
Nb1 0.0000 0.0000 0.0000 x2  4 Cu 2.83, 8 Sb 3.16
Cu1 0.1202 0.3798 0.0000 x4  1 Cu 2.42, 2 Sb 2.68
Sb1 0.1803 0.6803 0.5000 x4  6 Cu 2.68-2.81

- formation energy from raw total energies (kJ/mol of atoms) = 15.3
- polymorph energy (0 for the lowest one) (eV per formula unit) = 0.00

=====

[3]
## CaAlSe2 (PBE)

Data for a relaxed structure of CaAlSe2.

a b c (Å): 4.0316 4.0316 6.0287
angles (deg): 90.00 90.00 90.00
Last column: nearest neighbours and their distance in Å.
Space group P4mm (No. 99)
Asymmetric unit:
Ca1 0.0000 0.0000 0.0000 x1  6 Se 2.86-3.05
Al1 0.5000 0.5000 0.4594 x1  1 Se 2.56
Se1 0.0000 0.0000 0.5057 x1  4 Al 2.86, 2 Ca 2.98-3.05
Se2 0.5000 0.5000 0.0352 x1  1 Al 2.56, 4 Ca 2.86

- formation energy from raw total energies (kJ/mol of atoms) = -112.1

=====

[4]
## Ca2Zn5Pt2Rh (PBE)

Data for a relaxed structure of Ca2Zn5Pt2Rh.

a b c (Å): 9.7832 9.7832 3.7655
angles (deg): 90.00 90.00 90.00
Last column: nearest neighbours and their distance in Å.
Space group P4/mbm (No. 127)
Asymmetric unit:
Ca1 0.1743 0.3257 0.0000 x4  3 Pt 2.77-2.97, 2 Zn 3.06
Zn1 0.0000 0.5000 0.5000 x2  4 Pt 2.56
Zn2 0.0580 0.8100 0.5000 x8  2 Pt 2.69, 2 Rh 2.71, 2 Zn 2.75
Pt1 0.1257 0.6257 0.0000 x4  6 Zn 2.56-2.69, 1 Ca 2.77
Rh1 0.0000 0.0000 0.0000 x2  8 Zn 2.71

- formation energy from the elements (eV per atom) = -0.483